# PBE+U LiMnPO5, relaxed
# uncorrected energy	-6.85	eV/atom
# total moment	3.00	μB/f.u.
data_LiMnPO5
_chemical_formula_sum 'Li2 Mn2 P2 O10'
_space_group_name_H-M_alt 'P -1'
_space_group_IT_number 2
_cell_length_a 5.177
_cell_length_b 5.287
_cell_length_c 6.964
_cell_angle_alpha 106.75
_cell_angle_beta 107.46
_cell_angle_gamma 99.16
loop_
_space_group_symop_operation_xyz
'x,y,z'
'-x,-y,-z'
loop_
_atom_site_label
_atom_site_type_symbol
_atom_site_fract_x
_atom_site_fract_y
_atom_site_fract_z
Li1 Li 0.229 0.357 0.252
Mn1 Mn 0.500 0.000 0.000
Mn2 Mn 0.500 0.000 0.500
P1 P 0.178 0.352 0.743
O1 O 0.128 0.765 0.421
O2 O 0.191 0.659 0.849
O3 O 0.243 0.217 0.916
O4 O 0.387 0.331 0.622
O5 O 0.391 0.054 0.238